Record 1
VASP calculation (PBE) on HoErBr3N after structural relaxation.

Final energy ... -5.578 eV per atom
Crystal system ... monoclinic
Magnetic moment ... 0.00 μB per formula unit

Cell: 8.872 8.872 11.213 Å, 122.22 122.22 24.99°
Fractional positions:
Br (0.956, 0.956, 0.757)
N (0.425, 0.425, 0.346)
Br (0.778, 0.778, 0.382)
Br (0.222, 0.222, 0.618)
Er (0.135, 0.135, 0.785)
Ho (0.422, 0.422, 0.542)
Br (0.335, 0.335, 0.987)
Ho (0.578, 0.578, 0.458)
Er (0.865, 0.865, 0.215)
Br (0.044, 0.044, 0.243)
Br (0.665, 0.665, 0.013)
N (0.575, 0.575, 0.654)

=====

Record 2
VASP calculation (PBE) on Na6CdSi2 after structural relaxation.

Final energy ... -2.160 eV per atom
Crystal system ... monoclinic

Cell: 5.531 5.531 8.952 Å, 97.67 97.67 55.80°
Fractional positions:
Na (0.472, 0.472, 0.280)
Na (0.298, 0.298, 0.924)
Na (0.175, 0.175, 0.587)
Si (0.154, 0.154, 0.255)
Na (0.528, 0.528, 0.720)
Na (0.825, 0.825, 0.413)
Cd (0.000, 0.000, 0.000)
Si (0.846, 0.846, 0.745)
Na (0.702, 0.702, 0.076)

=====

Record 3
VASP calculation (PBE) on Cu11Te6 after structural relaxation.

Final energy ... -3.430 eV per atom
Crystal system ... monoclinic

Cell: 4.654 4.654 28.867 Å, 94.61 94.61 38.75°
Fractional positions:
Te (0.477, 0.477, 0.884)
Te (0.582, 0.582, 0.797)
Cu (0.088, 0.088, 0.439)
Te (0.523, 0.523, 0.116)
Cu (0.330, 0.330, 0.621)
Te (0.231, 0.231, 0.303)
Cu (0.670, 0.670, 0.379)
Te (0.769, 0.769, 0.697)
Cu (0.500, 0.500, 0.500)
Cu (0.618, 0.618, 0.590)
Cu (0.206, 0.206, 0.530)
Cu (0.794, 0.794, 0.470)
Cu (0.957, 0.957, 0.348)
Cu (0.912, 0.912, 0.561)
Cu (0.043, 0.043, 0.652)
Cu (0.382, 0.382, 0.410)
Te (0.418, 0.418, 0.203)

=====

Record 4
VASP calculation (PBE) on PrSiIr after structural relaxation.

Final energy ... -5.850 eV per atom
Crystal system ... cubic
Magnetic moment ... 0.01 μB per formula unit

Cell: 4.736 4.736 4.736 Å, 60.00 60.00 60.00°
Fractional positions:
Ir (0.250, 0.250, 0.250)
Pr (0.000, 0.000, 0.000)
Si (0.750, 0.750, 0.750)

=====

Record 5
VASP calculation (PBE) on PrInAu after structural relaxation.

Final energy ... -4.320 eV per atom
Crystal system ... hexagonal
Magnetic moment ... 0.00 μB per formula unit

Cell: 7.780 7.780 4.285 Å, 90.00 90.00 120.00°
Fractional positions:
Au (0.667, 0.333, 0.000)
In (0.000, 0.250, 0.000)
Au (0.000, 0.000, 0.500)
In (0.750, 0.750, 0.000)
Pr (0.412, 0.412, 0.500)
Pr (0.000, 0.588, 0.500)
In (0.250, 0.000, 0.000)
Au (0.333, 0.667, 0.000)
Pr (0.588, 0.000, 0.500)

=====

Record 6
VASP calculation (PBE) on Sc4Nb2Sb3N3 after structural relaxation.

Final energy ... -7.958 eV per atom
Crystal system ... monoclinic
Magnetic moment ... 0.00 μB per formula unit

Cell: 5.803 5.803 13.872 Å, 102.04 102.04 60.49°
Fractional positions:
Nb (0.526, 0.367, 0.579)
Sb (0.262, 0.417, 0.750)
N (0.327, 0.846, 0.000)
N (0.000, 0.500, 0.000)
Sc (0.802, 0.974, 0.415)
N (0.154, 0.673, 0.500)
Sc (0.140, 0.304, 0.415)
Sc (0.026, 0.198, 0.085)
N (0.846, 0.327, 0.500)
Sc (0.860, 0.696, 0.585)
Nb (0.633, 0.474, 0.921)
Nb (0.474, 0.633, 0.421)
Nb (0.367, 0.526, 0.079)
Sc (0.974, 0.802, 0.915)
Sb (0.738, 0.583, 0.250)
Sc (0.198, 0.026, 0.585)
Sc (0.304, 0.140, 0.915)
Sc (0.696, 0.860, 0.085)
Sb (0.417, 0.262, 0.250)
Sb (0.096, 0.904, 0.250)
N (0.673, 0.154, 0.000)
N (0.500, 0.000, 0.500)
Sb (0.583, 0.738, 0.750)
Sb (0.904, 0.096, 0.750)

=====

Record 7
VASP calculation (PBE) on Zr2SnPd2Pb after structural relaxation.

Final energy ... -6.514 eV per atom
Crystal system ... monoclinic
Magnetic moment ... 0.00 μB per formula unit

Cell: 11.140 4.546 11.143 Å, 90.00 109.47 90.00°
Fractional positions:
Pd (0.629, 0.000, 0.879)
Sn (0.750, 0.500, 0.000)
Pb (0.375, 0.000, 0.876)
Pb (0.875, 0.000, 0.374)
Pb (0.624, 0.000, 0.625)
Pd (0.374, 0.000, 0.129)
Pd (0.746, 0.500, 0.246)
Pd (0.001, 0.500, 0.005)
Zr (0.374, 0.000, 0.374)
Sn (0.250, 0.500, 0.499)
Zr (0.250, 0.500, 0.002)
Pd (0.875, 0.000, 0.625)
Pb (0.001, 0.500, 0.751)
Pd (0.496, 0.500, 0.496)
Zr (0.624, 0.000, 0.125)
Pd (0.251, 0.500, 0.746)
Zr (0.501, 0.500, 0.750)
Pd (0.129, 0.000, 0.374)
Zr (0.876, 0.000, 0.878)
Zr (0.001, 0.500, 0.250)
Zr (0.748, 0.500, 0.498)
Sn (0.499, 0.500, 0.250)
Zr (0.126, 0.000, 0.623)
Sn (0.125, 0.000, 0.125)

=====

Record 8
VASP calculation (PBE) on ZrMo2 after structural relaxation.

Polymorph energy (0 for the lowest one) ... 0.009 eV per atom
Crystal system ... hexagonal
Magnetic moment ... 0.00 μB per formula unit

Cell: 5.394 5.394 17.484 Å, 90.00 90.00 120.00°
Fractional positions:
Zr (0.000, 0.000, 0.095)
Zr (0.667, 0.333, 0.344)
Mo (0.500, 0.500, 0.500)
Mo (0.164, 0.836, 0.250)
Mo (0.164, 0.328, 0.250)
Mo (0.667, 0.333, 0.876)
Mo (0.667, 0.333, 0.624)
Mo (0.500, 0.500, 0.000)
Mo (0.500, 0.000, 0.000)
Zr (0.333, 0.667, 0.844)
Mo (0.328, 0.164, 0.750)
Mo (0.500, 0.000, 0.500)
Zr (0.000, 0.000, 0.405)
Zr (0.333, 0.667, 0.656)
Mo (0.000, 0.500, 0.500)
Mo (0.836, 0.164, 0.750)
Mo (0.333, 0.667, 0.124)
Mo (0.672, 0.836, 0.250)
Zr (0.000, 0.000, 0.905)
Mo (0.333, 0.667, 0.376)
Mo (0.836, 0.672, 0.750)
Zr (0.667, 0.333, 0.156)
Mo (0.000, 0.500, 0.000)
Zr (0.000, 0.000, 0.595)

=====

Record 9
VASP calculation (PBE) on Cs2Sm4Cu4Te9 after structural relaxation.

Final energy ... -4.337 eV per atom
Crystal system ... monoclinic
Magnetic moment ... 0.00 μB per formula unit

Cell: 8.186 8.186 18.055 Å, 107.48 107.48 31.57°
Fractional positions:
Te (0.157, 0.157, 0.227)
Te (0.366, 0.366, 0.578)
Te (0.634, 0.634, 0.422)
Te (0.500, 0.500, 0.000)
Te (0.898, 0.898, 0.374)
Sm (0.154, 0.154, 0.055)
Te (0.202, 0.202, 0.897)
Cu (0.076, 0.076, 0.473)
Sm (0.729, 0.729, 0.599)
Sm (0.846, 0.846, 0.945)
Te (0.843, 0.843, 0.773)
Te (0.102, 0.102, 0.626)
Cu (0.924, 0.924, 0.527)
Te (0.798, 0.798, 0.103)
Sm (0.271, 0.271, 0.401)
Cu (0.748, 0.748, 0.233)
Cs (0.469, 0.469, 0.228)
Cs (0.531, 0.531, 0.772)
Cu (0.252, 0.252, 0.767)

=====

Record 10
VASP calculation (PBE) on FeCu4Pd5 after structural relaxation.

Final energy ... -5.030 eV per atom
Crystal system ... tetragonal
Magnetic moment ... 3.82 μB per formula unit

Cell: 3.039 3.039 14.872 Å, 90.00 90.00 90.00°
Site moments in Bohr magnetons follow the coordinates.
Fractional positions:
Cu (0.000, 0.000, 0.599)  0.00
Pd (0.500, 0.500, 0.500)  0.01
Pd (0.500, 0.500, 0.700)  0.02
Fe (0.000, 0.000, 0.000)  3.22
Cu (0.000, 0.000, 0.798)  0.02
Pd (0.500, 0.500, 0.100)  0.25
Pd (0.500, 0.500, 0.300)  0.02
Cu (0.000, 0.000, 0.401)  0.00
Cu (0.000, 0.000, 0.202)  0.02
Pd (0.500, 0.500, 0.900)  0.25

=====

Record 11
VASP calculation (PBE) on HoTaNO after structural relaxation.

Polymorph energy (0 for the lowest one) ... 0.270 eV per atom
Crystal system ... tetragonal
Magnetic moment ... 0.00 μB per formula unit

Cell: 4.717 4.717 4.460 Å, 90.00 90.00 90.00°
Fractional positions:
O (0.000, 0.000, 0.000)
Ta (0.000, 0.500, 0.000)
Ho (0.500, 0.500, 0.500)
N (0.500, 0.000, 0.500)
N (0.000, 0.500, 0.500)
O (0.500, 0.500, 0.000)
Ho (0.000, 0.000, 0.500)
Ta (0.500, 0.000, 0.000)